VASP calculation (PBE+U) on an optimized crystal structure of K6W2N4O3.

a b c (Å): 9.7063 6.8322 11.7785
angles (deg): 56.78 90.00 90.00
Atoms (fractional coordinates):
K1 0.7795 0.5959 0.2809
N1 0.8211 0.0472 0.6333
N2 0.7018 0.4953 0.5763
K2 0.6598 0.9509 0.9338
W1 0.3552 0.6893 0.8664
N3 0.7982 0.4953 0.0763
O1 0.1010 0.7687 0.1896
K3 0.9722 0.2044 0.0463
O2 0.8990 0.2313 0.8104
K4 0.1598 0.0491 0.5662
W2 0.6448 0.3107 0.1336
O3 0.5000 0.5000 0.0000
K5 0.5278 0.2044 0.5463
K6 0.7205 0.5959 0.7809
K7 0.0278 0.7956 0.9537
W3 0.1448 0.6893 0.3664
N4 0.6789 0.0472 0.1333
O4 0.0000 0.5000 0.5000
O5 0.6010 0.2313 0.3104
N5 0.2982 0.5047 0.4237
K8 0.3402 0.0491 0.0662
N6 0.2018 0.5047 0.9237
K9 0.2795 0.4041 0.2191
W4 0.8552 0.3107 0.6336
O6 0.3990 0.7687 0.6896
K10 0.2205 0.4041 0.7191
N7 0.3211 0.9528 0.8667
K11 0.8402 0.9509 0.4338
K12 0.4722 0.7956 0.4537
N8 0.1789 0.9528 0.3667

* total magnetization: 0.11 μB per formula unit
* electronic total energy: -165.05 eV for the cell shown